VASP calculation (GGA-PBE) on a relaxed Mg2SiGeSe crystal.

As for the density of states at the Fermi level: 0.200 states/eV/atom. The value obtained for the electronic total energy is -16.3 eV/cell.

abc: 5.0085 5.0085 4.7777
angles: 90.00 90.00 90.00
With the nearest neighbours (Å) after each atom.
Space group P4/mmm (No. 123)
One atom of each set of equivalent atoms:
Mg: 0.0000 0.5000 0.0000  2 Si 2.50
Si: 0.0000 0.0000 0.0000  2 Ge 2.39, 4 Mg 2.50
Ge: 0.0000 0.0000 0.5000  2 Si 2.39
Se: 0.5000 0.5000 0.5000  8 Mg 3.46, 4 Ge 3.54